(1)
VASP calculation (PBEsol) on a relaxed structure of Mn2WCl.

## Properties
Formation energy without anion corrections ... 1047 meV/atom
E ... -31.15 eV per formula unit
ΔE to the lowest computed polymorph ... 72.8 kJ/mol of atoms

Unit cell a=4.2416 b=4.2416 c=4.2416 alpha=60.00 beta=60.00 gamma=60.00
Closest atoms and distances in Å follow each position.
Sites, in units of the cell vectors:
Mn 0.2500 0.2500 0.2500  4 Cl 2.60, 4 W 2.60
Mn 0.7500 0.7500 0.7500  4 W 2.60, 4 Cl 2.60
W 0.5000 0.5000 0.5000  8 Mn 2.60
Cl 0.0000 0.0000 0.0000  8 Mn 2.60

(2)
VASP calculation (PBEsol) on a relaxed structure of ScHgIr.

## Properties
E ... -18.48 eV per formula unit
ΔH_f (0 K) ... -48 kJ per mole of atoms

Unit cell a=3.3906 b=3.3906 c=5.1860 alpha=109.08 beta=109.08 gamma=90.00
Closest atoms and distances in Å follow each position.
Sites, in units of the cell vectors:
Hg 0.9990 0.9990 0.9979  5 Ir 2.91-2.95, 5 Sc 2.92-2.93
Ir 0.3193 0.3193 0.6385  4 Sc 2.71, 5 Hg 2.91-2.95
Sc 0.6818 0.6818 0.3636  4 Ir 2.71, 5 Hg 2.92-2.93

(3)
VASP calculation (PBEsol) on a relaxed structure of Ca2TlP2.

## Properties
E ... -21.30 eV per formula unit
ΔH_f (0 K) ... -54 kJ per mole of atoms

Unit cell a=4.8979 b=4.8979 c=6.2259 alpha=113.16 beta=113.16 gamma=90.00
Closest atoms and distances in Å follow each position.
Sites, in units of the cell vectors:
P 0.3917 0.3917 0.7835  1 P 2.24
P 0.6083 0.6083 0.2165  1 P 2.24
Tl 0.0000 0.0000 0.0000  8 Ca 3.56, 8 P 3.64
Ca 0.2500 0.7500 0.5000  4 P 2.85
Ca 0.7500 0.2500 0.5000  4 P 2.85

(4)
VASP calculation (PBEsol) on a relaxed structure of YSi2Sb.

## Properties
Formation energy without anion corrections ... -236 meV/atom
E ... -23.82 eV per formula unit

Unit cell a=3.7072 b=3.7072 c=7.7931 alpha=76.24 beta=76.24 gamma=60.00
Closest atoms and distances in Å follow each position.
Sites, in units of the cell vectors:
Y 0.4863 0.4863 0.5410  3 Si 2.88, 3 Sb 3.16
Sb 0.2565 0.2565 0.2305  3 Si 3.11, 3 Y 3.16
Si 0.0233 0.0233 0.9302  3 Si 2.36
Si 0.7339 0.7339 0.7982  3 Si 2.36